# 1
{"formula": "Ba5PdPt", "functional": "PBE", "state": "relaxed", "dos_ef_per_ev_fu": 5.2, "e_form_ev_per_atom": -0.3448, "spacegroup": "No. 15", "density_g_cm3": 4.88, "cell": [[7.433, -3.894, 0.000], [7.433, 3.894, 0.000], [-3.016, 0.000, 11.617]], "species": ["Ba", "Ba", "Ba", "Ba", "Ba", "Ba", "Ba", "Ba", "Ba", "Ba", "Pd", "Pd", "Pt", "Pt"], "frac_coords": [[0.021, 0.633, 0.348], [0.165, 0.835, 0.750], [0.216, 0.560, 0.014], [0.367, 0.979, 0.152], [0.440, 0.784, 0.486], [0.560, 0.216, 0.514], [0.633, 0.021, 0.848], [0.784, 0.440, 0.986], [0.835, 0.165, 0.250], [0.979, 0.367, 0.652], [0.424, 0.576, 0.250], [0.576, 0.424, 0.750], [0.000, 0.000, 0.000], [0.000, 0.000, 0.500]]}


# 2
{"formula": "BaPd3Pt", "functional": "PBE", "state": "relaxed", "dos_ef_per_ev_fu": 5.3, "e_form_ev_per_atom": -0.3335, "polymorph_energy_mev_per_atom": 0, "spacegroup": "No. 74", "density_g_cm3": 9.56, "cell": [[-2.704, 4.541, 4.612], [2.704, -4.541, 4.612], [2.704, 4.541, -4.612]], "species": ["Ba", "Ba", "Pd", "Pd", "Pd", "Pd", "Pd", "Pd", "Pt", "Pt"], "frac_coords": [[0.287, 0.037, 0.250], [0.713, 0.963, 0.750], [0.090, 0.340, 0.750], [0.241, 0.000, 0.741], [0.241, 0.500, 0.241], [0.759, 0.000, 0.259], [0.759, 0.500, 0.759], [0.910, 0.660, 0.250], [0.000, 0.500, 0.500], [0.500, 0.500, 0.000]]}


# 3
{"formula": "Ba9Pd4Pt2", "functional": "PBE", "state": "relaxed", "dos_ef_per_ev_fu": 10.6, "e_form_ev_per_atom": -0.5080, "spacegroup": "No. 165", "density_g_cm3": 5.54, "cell": [[7.952, 0.000, 0.000], [-3.976, 6.887, 0.000], [0.000, 0.000, 22.437]], "species": ["Ba", "Ba", "Ba", "Ba", "Ba", "Ba", "Ba", "Ba", "Ba", "Ba", "Ba", "Ba", "Ba", "Ba", "Ba", "Ba", "Ba", "Ba", "Pd", "Pd", "Pd", "Pd", "Pd", "Pd", "Pd", "Pd", "Pt", "Pt", "Pt", "Pt"], "frac_coords": [[0.000, 0.312, 0.250], [0.000, 0.688, 0.750], [0.016, 0.345, 0.584], [0.016, 0.671, 0.084], [0.312, 0.000, 0.250], [0.312, 0.312, 0.750], [0.329, 0.345, 0.084], [0.329, 0.984, 0.584], [0.345, 0.016, 0.916], [0.345, 0.329, 0.416], [0.655, 0.671, 0.584], [0.655, 0.984, 0.084], [0.671, 0.016, 0.416], [0.671, 0.655, 0.916], [0.688, 0.000, 0.750], [0.688, 0.688, 0.250], [0.984, 0.329, 0.916], [0.984, 0.655, 0.416], [0.333, 0.667, 0.173], [0.333, 0.667, 0.494], [0.333, 0.667, 0.673], [0.333, 0.667, 0.994], [0.667, 0.333, 0.006], [0.667, 0.333, 0.327], [0.667, 0.333, 0.506], [0.667, 0.333, 0.827], [0.000, 0.000, 0.160], [0.000, 0.000, 0.340], [0.000, 0.000, 0.660], [0.000, 0.000, 0.840]]}


# 4
{"formula": "Ba6PdPt", "functional": "PBE", "state": "relaxed", "dos_ef_per_ev_fu": 8.0, "e_form_ev_per_atom": -0.4098, "spacegroup": "No. 163", "density_g_cm3": 4.61, "cell": [[7.896, 0.000, 0.000], [-3.948, 6.838, 0.000], [0.000, 0.000, 15.024]], "species": ["Ba", "Ba", "Ba", "Ba", "Ba", "Ba", "Ba", "Ba", "Ba", "Ba", "Ba", "Ba", "Pd", "Pd", "Pt", "Pt"], "frac_coords": [[0.009, 0.330, 0.124], [0.009, 0.678, 0.376], [0.322, 0.330, 0.376], [0.322, 0.991, 0.124], [0.330, 0.009, 0.624], [0.330, 0.322, 0.876], [0.670, 0.678, 0.124], [0.670, 0.991, 0.376], [0.678, 0.009, 0.876], [0.678, 0.670, 0.624], [0.991, 0.322, 0.624], [0.991, 0.670, 0.876], [0.333, 0.667, 0.250], [0.667, 0.333, 0.750], [0.000, 0.000, 0.000], [0.000, 0.000, 0.500]]}